# LaCr2Cu

A relaxed structure of LaCr2Cu (PBE, Alexandria via LeMat-Bulk).

a = 4.2073 Å, b = 4.2073 Å, c = 9.6589 Å
α = 77.42°, β = 77.42°, γ = 90.00°
Last column: nearest neighbours and their distance in Å.
Fractional coordinates of all 8 atoms:
Cr (0.3750, 0.6250, 0.2500)  2 Cr 2.10
Cr (0.8750, 0.6250, 0.7500)  2 Cr 2.10
Cr (0.3750, 0.1250, 0.2500)  2 Cr 2.10
Cr (0.3750, 0.6250, 0.7500)  2 Cr 2.10
Cu (0.5000, 0.5000, 0.0000)  4 Cr 2.53
Cu (0.2500, 0.7500, 0.5000)  4 Cr 2.53
La (0.0000, 0.0000, 0.0000)  4 Cu 2.97, 8 Cr 3.29
La (0.7500, 0.2500, 0.5000)  4 Cu 2.97, 8 Cr 3.29

Output
Polymorph energy (0 for the lowest one), meV/atom: 446
SG: I4_1/amd (141)
DOS(E_F), states/eV per cell: 10.36


# TmGaB

A relaxed structure of TmGaB (PBE, Alexandria via LeMat-Bulk).

a = 3.6104 Å, b = 5.1707 Å, c = 5.9998 Å
α = 102.36°, β = 90.00°, γ = 110.43°
Last column: nearest neighbours and their distance in Å.
Fractional coordinates of all 6 atoms:
Ga (0.1856, 0.3713, 0.3246)  3 B 2.32-2.33
Ga (0.8144, 0.6287, 0.6754)  3 B 2.32-2.33
Tm (0.1039, 0.2078, 0.7888)  4 B 2.61-2.75, 3 Ga 2.73-2.92
Tm (0.8961, 0.7922, 0.2112)  4 B 2.61-2.75, 3 Ga 2.73-2.92
B (0.4189, 0.8379, 0.5319)  1 B 1.70
B (0.5811, 0.1621, 0.4681)  1 B 1.70

Output
DFT total energy, eV per cell: -29.84
SG: C2/m (12)
DOS(E_F), states/eV per cell: 1.81


# CaPr3Nd4Te8

A relaxed structure of CaPr3Nd4Te8 (PBE, Alexandria via LeMat-Bulk).

a = 9.0318 Å, b = 9.0207 Å, c = 9.0291 Å
α = 120.02°, β = 120.01°, γ = 90.00°
Last column: nearest neighbours and their distance in Å.
Fractional coordinates of all 16 atoms:
Nd (0.5000, 0.0000, 0.0000)  6 Te 3.22
Nd (0.0000, 0.0000, 0.0000)  6 Te 3.18
Nd (0.0000, 0.0000, 0.5000)  6 Te 3.18
Nd (0.5000, 0.0000, 0.5000)  6 Te 3.18
Pr (0.5000, 0.5000, 0.5000)  6 Te 3.20
Pr (0.0000, 0.5000, 0.5000)  6 Te 3.20
Pr (0.5000, 0.5000, 0.0000)  6 Te 3.20
Te (0.7522, 0.2505, 0.9978)  1 Ca 3.16, 3 Nd 3.18-3.22, 2 Pr 3.20
Te (0.2458, 0.2508, 0.9982)  1 Ca 3.16, 3 Nd 3.18-3.22, 2 Pr 3.20
Te (0.2472, 0.7488, 0.4947)  1 Ca 3.16, 3 Nd 3.18-3.22, 2 Pr 3.20
Te (0.7528, 0.2512, 0.5053)  1 Ca 3.16, 3 Nd 3.18-3.22, 2 Pr 3.20
Te (0.7542, 0.7492, 0.0018)  1 Ca 3.16, 3 Nd 3.18-3.22, 2 Pr 3.20
Te (0.2490, 0.2474, 0.4979)  3 Nd 3.18, 3 Pr 3.20
Te (0.7510, 0.7526, 0.5021)  3 Nd 3.18, 3 Pr 3.20
Te (0.2478, 0.7495, 0.0022)  1 Ca 3.16, 3 Nd 3.18-3.22, 2 Pr 3.20
Ca (0.0000, 0.5000, 0.0000)  6 Te 3.16

Output
SG: R-3m (166)
Raw formation energy, eV per atom: -1.4469
DOS(E_F), states/eV per cell: 9.91


# CaScCl3

A relaxed structure of CaScCl3 (PBE, Alexandria via LeMat-Bulk).

a = 5.3254 Å, b = 5.3254 Å, c = 5.3254 Å
α = 90.00°, β = 90.00°, γ = 90.00°
Last column: nearest neighbours and their distance in Å.
Fractional coordinates of all 5 atoms:
Cl (0.5000, 0.0000, 0.0000)  2 Ca 2.66
Cl (0.0000, 0.5000, 0.0000)  2 Ca 2.66
Cl (0.0000, 0.0000, 0.5000)  2 Ca 2.66
Sc (0.5000, 0.5000, 0.5000)  12 Cl 3.77
Ca (0.0000, 0.0000, 0.0000)  6 Cl 2.66

Output
Polymorph energy (0 for the lowest one), meV/atom: 162
SG: Pm-3m (221)
Raw formation energy, eV per atom: -1.2773
DOS(E_F), states/eV per cell: 4.86


# Ce3SiRu

A relaxed structure of Ce3SiRu (PBE, Alexandria via LeMat-Bulk).

a = 3.7830 Å, b = 7.6495 Å, c = 9.4953 Å
α = 111.47°, β = 113.48°, γ = 75.71°
Last column: nearest neighbours and their distance in Å.
Fractional coordinates of all 10 atoms:
Ru (0.8856, 0.3835, 0.8275)  1 Si 2.65, 3 Ce 2.76-2.95
Ru (0.1144, 0.6165, 0.1725)  1 Si 2.65, 3 Ce 2.76-2.95
Ce (0.8068, 0.7155, 0.4142)  2 Ru 2.76, 1 Ce 2.94, 4 Si 3.04-3.05
Ce (0.1932, 0.2845, 0.5858)  2 Ru 2.76, 1 Ce 2.94, 4 Si 3.04-3.05
Ce (0.3352, 0.7091, 0.9394)  1 Ce 2.89, 4 Ru 2.99-3.00, 2 Si 3.04
Ce (0.6648, 0.2909, 0.0606)  1 Ce 2.89, 4 Ru 2.99-3.00, 2 Si 3.04
Ce (0.9856, 0.0328, 0.2519)  2 Ce 2.89-2.94, 1 Ru 2.95, 2 Si 3.09
Ce (0.0144, 0.9672, 0.7481)  2 Ce 2.89-2.94, 1 Ru 2.95, 2 Si 3.09
Si (0.4073, 0.3781, 0.3465)  1 Ru 2.65, 1 Si 2.74
Si (0.5927, 0.6219, 0.6535)  1 Ru 2.65, 1 Si 2.74

Output
Polymorph energy (0 for the lowest one), meV/atom: 79
SG: C2/m (12)
Raw formation energy, eV per atom: -0.3643
DOS(E_F), states/eV per cell: 19.25


# Ac7Cu2Au2

A relaxed structure of Ac7Cu2Au2 (PBE, Alexandria via LeMat-Bulk).

a = 7.3561 Å, b = 7.7035 Å, c = 7.3561 Å
α = 90.00°, β = 112.55°, γ = 90.00°
Last column: nearest neighbours and their distance in Å.
Fractional coordinates of all 11 atoms:
Au (0.1790, 0.5000, 0.1790)  1 Au 2.92, 2 Ac 3.23
Au (0.8210, 0.5000, 0.8210)  1 Au 2.92, 2 Ac 3.23
Cu (0.3033, 0.0000, 0.6967)  6 Ac 2.98-3.11
Cu (0.6967, 0.0000, 0.3033)  6 Ac 2.98-3.11
Ac (0.4998, 0.2549, 0.5002)  2 Cu 3.10-3.11, 2 Au 3.23
Ac (0.9998, 0.2693, 0.5003)  2 Cu 2.98
Ac (0.4997, 0.2693, 0.0002)  2 Cu 2.98
Ac (0.0000, 0.0000, 0.0000)  2 Cu 3.71, 4 Au 4.12
Ac (0.0002, 0.7307, 0.4997)  2 Cu 2.98
Ac (0.5002, 0.7451, 0.4998)  2 Cu 3.10-3.11, 2 Au 3.23
Ac (0.5003, 0.7307, 0.9998)  2 Cu 2.98

Output
DFT total energy, eV per cell: -44.63
SG: Cmmm (65)
DOS(E_F), states/eV per cell: 13.54